# 1
# Pm6PaTe12

Pm6PaTe12 after structural relaxation (PBE, the Alexandria database).

Cell lengths 13.6828, 13.6828, 12.8936 Å; angles 90.00, 90.00, 120.00 degrees
Closest atoms and distances in Å follow each position.
Space group R-3 (No. 148, hexagonal axes)
Symmetry-distinct sites (fractional):
Pm (0.0544, 0.2796, 0.1377) (multiplicity 18)  7 Te 3.14-3.49
Pa (0.0000, 0.0000, 0.5000) (multiplicity 3)  6 Te 2.96
Te (0.0359, 0.2154, 0.8939) (multiplicity 18)  4 Pm 3.15-3.29
Te (0.0529, 0.2017, 0.3739) (multiplicity 18)  1 Pa 2.96, 2 Pm 3.14-3.22

Summary:
**Uncorrected formation energy**: -1.212 eV/atom
**Total magnetic moment**: 0.0 μB/cell

---

# 2
# NiW2Se

NiW2Se after structural relaxation (PBE, the Alexandria database).

Cell lengths 2.9002, 2.9002, 24.9098 Å; angles 90.00, 90.00, 120.00 degrees
Closest atoms and distances in Å follow each position.
Space group R-3m (No. 166, hexagonal axes)
Symmetry-distinct sites (fractional):
Ni (0.0000, 0.0000, 0.0000) (multiplicity 3)  6 W 2.67, 6 Ni 2.90
W (0.0000, 0.0000, 0.2501) (multiplicity 6)  3 Ni 2.67, 3 Se 2.67, 6 W 2.90
Se (0.0000, 0.0000, 0.5000) (multiplicity 3)  6 W 2.67, 6 Se 2.90

Summary:
**Uncorrected formation energy**: 0.450 eV/atom
**Total magnetic moment**: 0.0 μB/cell

---

# 3
# Li3HfAu

Li3HfAu after structural relaxation (PBE, the Alexandria database).

Cell lengths 5.1721, 5.1721, 5.1721 Å; angles 90.00, 90.00, 90.00 degrees
Closest atoms and distances in Å follow each position.
Space group Pm-3m (No. 221)
Symmetry-distinct sites (fractional):
Li (0.0000, 0.0000, 0.5000) (multiplicity 3)  2 Hf 2.59
Hf (0.0000, 0.0000, 0.0000) (multiplicity 1)  6 Li 2.59
Au (0.5000, 0.5000, 0.5000) (multiplicity 1)  12 Li 3.66

Summary:
**Total magnetic moment**: 3.0 μB/cell
**Formation energy**: 1332 meV per atom

---

# 4
# YHg2As

YHg2As after structural relaxation (PBE, the Alexandria database).

Cell lengths 7.4544, 4.3131, 7.1026 Å; angles 90.00, 110.74, 90.00 degrees
Closest atoms and distances in Å follow each position.
Space group Cm (No. 8)
Symmetry-distinct sites (fractional):
Y (0.0000, 0.0000, 0.0000) (multiplicity 2)  3 As 2.83, 2 Hg 3.17
Hg (0.2348, 0.0000, 0.7036) (multiplicity 2)  3 Hg 3.02-3.03, 3 Y 3.17-3.18
Hg (0.4823, 0.0000, 0.4457) (multiplicity 2)  3 As 2.96-2.97, 3 Hg 3.02-3.03
As (0.2354, 0.5000, 0.2041) (multiplicity 2)  3 Y 2.83, 3 Hg 2.96-2.97

Summary:
**Total magnetic moment**: 0.0 μB/cell
**Formation energy**: -417 meV per atom